No. 1
A plane-wave DFT calculation with PBE was carried out for a relaxed TiCuF2 crystal.

POSCAR file:
```
TiCuF2
1.0
-3.0474 -6.5769 5.0285
-0.4013 -6.3816 6.0781
-2.4589 -4.6708 7.0687
F Cu Ti
2 1 1
Cartesian
-5.4953 -16.3987 16.9067 F
-0.4123 -1.2305 1.2686 F
-2.9538 -8.8146 9.0876 Cu
0.0000 0.0000 0.0000 Ti
```

Formation energy from raw total energies (kJ/mol of formula units): -535
E (eV/atom): -5.320

***

No. 2
A plane-wave DFT calculation with PBE was carried out for a relaxed Sc3VFe8 crystal.

POSCAR file:
```
Sc3VFe8
1.0
4.6749 0.0000 1.4112
2.1245 4.1643 1.4112
0.0019 0.0012 8.4425
Sc Fe V
3 8 1
Cartesian
2.5525 1.5633 8.4421 Sc
6.7904 4.1588 2.8524 Sc
3.4084 2.0875 5.6070 Sc
5.3243 1.8368 7.7091 Fe
4.6762 2.8640 9.8558 Fe
4.0558 3.9080 7.7091 Fe
5.2997 1.8166 3.5590 Fe
2.9661 1.8166 2.8546 Fe
4.0266 3.8954 3.5590 Fe
1.2772 0.7822 4.2180 Fe
6.3809 3.9080 8.4110 Fe
5.9484 3.6431 5.6415 V
```

E (eV/atom): -8.197

***

No. 3
A plane-wave DFT calculation with PBE was carried out for a relaxed AlHgRh crystal.

POSCAR file:
```
AlHgRh
1.0
-0.5756 2.9359 0.5306
-1.5776 -2.1459 1.4625
4.4552 0.0039 4.8116
Al Hg Rh
1 1 1
Cartesian
4.2872 0.0037 4.6302 Al
0.2695 -0.4506 2.7859 Hg
2.2005 1.2447 4.2001 Rh
```

E (eV/atom): -3.952

***

No. 4
A plane-wave DFT calculation with PBE was carried out for a relaxed BaPtW crystal.

POSCAR file:
```
BaPtW
1.0
4.6392 -0.0002 -0.0001
0.0001 5.3756 -0.0049
0.0002 2.6993 6.0115
Pt W Ba
2 2 2
Cartesian
0.1831 0.1947 0.1362 Pt
2.5028 3.9686 0.1320 Pt
0.1832 2.8708 0.6987 W
2.5028 1.2931 0.6994 W
0.1829 6.0569 3.4768 Ba
2.5025 3.4940 3.4752 Ba
```

E (eV/atom): -6.798

***

No. 5
A plane-wave DFT calculation with PBE was carried out for a relaxed NbV2B6 crystal.

POSCAR file:
```
NbV2B6
1.0
-1.7929 -1.2452 -2.2697
4.2855 -2.1239 -2.2201
-2.7082 -2.7077 3.6248
B V Nb
6 2 1
Cartesian
0.1475 -3.8205 -0.2051 B
0.5526 -1.3407 -1.8855 B
-0.7682 -4.7361 1.0205 B
-1.8122 -1.5381 0.0908 B
-0.3631 -2.2563 -0.6599 B
-2.6890 -2.4148 1.2643 B
0.1613 -3.5637 -2.5415 V
-0.3770 -2.5131 1.6765 V
-2.7082 -2.7077 3.6248 Nb
```

E (eV/atom): -8.292

***

No. 6
A plane-wave DFT calculation with PBE was carried out for a relaxed LiCaPt2 crystal.

POSCAR file:
```
LiCaPt2
1.0
-5.1540 -2.3918 6.9382
-6.2314 -4.2526 4.8486
-3.7834 -5.0052 6.4076
Ca Pt Li
1 2 1
Cartesian
-11.3767 -8.7372 13.6459 Ca
-15.0861 -11.5860 18.0952 Pt
-7.6673 -5.8884 9.1966 Pt
-3.7922 -2.9124 4.5486 Li
```

E (eV/atom): -4.357

***

No. 7
A plane-wave DFT calculation with PBE was carried out for a relaxed LiMg2Ni3 crystal.

POSCAR file:
```
LiMg2Ni3
1.0
4.3318 -0.1382 -2.2769
-2.7582 4.0398 -0.2006
-0.2272 0.0985 4.8214
Ni Mg Li
3 2 1
Cartesian
-0.1136 0.0493 2.4107 Ni
2.0523 -0.0198 1.2722 Ni
0.6732 2.0000 1.1720 Ni
-0.8508 2.5670 3.5022 Mg
2.1972 1.4331 -1.1583 Mg
0.0000 0.0000 0.0000 Li
```

E (eV/atom): -3.895

***

No. 8
A plane-wave DFT calculation with PBE was carried out for a relaxed Ga4CoRu3 crystal.

POSCAR file:
```
Ga4CoRu3
1.0
-0.8949 2.7929 -0.6365
-1.5837 -1.0380 -2.3283
-9.5219 -1.4297 7.1139
Ru Ga Co
3 4 1
Cartesian
-6.0002 0.1627 2.0746 Ru
-3.5530 0.5301 0.2463 Ru
-8.4473 -0.2048 3.9029 Ru
-5.9859 -0.8987 4.4721 Ga
-1.1176 -0.1678 0.8350 Ga
-8.4042 -1.2619 6.2789 Ga
-3.5360 -0.5309 2.6418 Ga
-1.2393 0.8775 -1.4824 Co
```

E (eV/atom): -6.166

***

No. 9
A plane-wave DFT calculation with PBE was carried out for a relaxed BeRe2P crystal.

POSCAR file:
```
BeRe2P
1.0
-2.5590 0.4882 -1.4106
-2.3243 -1.2927 3.7692
0.0046 3.6319 1.2484
Be Re P
1 2 1
Cartesian
-1.2772 2.0600 -0.0811 Be
-2.4417 -0.4023 1.1793 Re
0.0000 0.0000 0.0000 Re
-1.1598 1.1696 2.5088 P
```

E (eV/atom): -8.195

***

No. 10
A plane-wave DFT calculation with PBE was carried out for a relaxed TiAl2Mo crystal.

POSCAR file:
```
TiAl2Mo
1.0
2.8544 0.0000 0.0000
1.4272 2.4720 0.0000
1.4272 0.8240 9.1653
Al Ti Mo
2 1 1
Cartesian
1.4272 0.8240 2.2298 Al
4.2815 2.4720 6.9355 Al
2.8544 1.6480 4.5827 Ti
0.0000 0.0000 0.0000 Mo
```

E (eV/atom): -6.653

***

No. 11
A plane-wave DFT calculation with PBE was carried out for a relaxed Nd2PdO4 crystal.

POSCAR file:
```
Nd2PdO4
1.0
-1.7416 1.6547 6.5651
-5.0117 4.0897 2.6511
1.6202 -5.0840 -4.5166
O Nd Pd
4 2 1
Cartesian
-0.0607 -1.7146 1.0242 O
-5.4657 4.6492 7.4590 O
-1.2876 1.0952 1.7572 O
-1.6958 -0.4971 -0.9327 O
-4.2989 3.6566 5.8666 Nd
-2.4544 2.0878 3.3496 Nd
0.0000 0.0000 0.0000 Pd
```

Formation energy from raw total energies (kJ/mol of formula units): -1467
E (eV/atom): -7.109

***

No. 12
A plane-wave DFT calculation with PBE was carried out for a relaxed AcSm2Er2 crystal.

POSCAR file:
```
AcSm2Er2
1.0
8.3489 -3.3481 0.0000
-6.3725 6.3485 0.0000
-0.9882 -1.5002 11.7065
Sm Er Ac
4 4 2
Cartesian
-3.8443 4.6833 0.0000 Sm
5.8207 -1.6828 0.0000 Sm
-0.6581 1.5090 5.8532 Sm
-5.7145 4.8395 5.8532 Sm
-2.0872 0.8370 8.7799 Er
2.0872 -0.8370 8.7799 Er
2.5813 -0.0869 2.9266 Er
-0.6050 3.0874 2.9266 Er
4.1744 -1.6740 5.8532 Ac
0.9882 1.5002 0.0000 Ac
```

E (eV/atom): -4.103